No. 1
First-principles (PBE-GGA) data for SrPmHo2 after structural relaxation, as listed in Alexandria. Values from VASP.

Summary:
Its energy relative to the elements is 131 meV per atom. The relative energy among the computed polymorphs comes out at 0.02 eV per formula unit. As for the theoretical density: 6.43 g/cm³. As for the volume: 145.2 Å³/f.u.

Geometry as Quantum ESPRESSO input:
```
&SYSTEM
  ibrav = 0, nat = 4, ntyp = 3
/
ATOMIC_SPECIES
Sr 87.62 Sr.upf
Pm 145.00 Pm.upf
Ho 164.93 Ho.upf
CELL_PARAMETERS angstrom
3.7013 0.0000 0.0000
0.0000 3.7013 0.0000
0.0000 0.0000 10.5964
ATOMIC_POSITIONS crystal
Sr 0.0000 0.0000 0.0000
Pm 0.0000 0.0000 0.5000
Ho 0.5000 0.5000 0.2771
Ho 0.5000 0.5000 0.7229
```

No. 2
First-principles (PBE-GGA) data for PaTl4S5 after structural relaxation, as listed in Alexandria. Values from VASP.

Summary:
As for the theoretical density: 7.02 g/cm³. As for the volume: 285.8 Å³/f.u. As for the uncorrected formation energy: -0.740 eV/atom.

Geometry as Quantum ESPRESSO input:
```
&SYSTEM
  ibrav = 0, nat = 10, ntyp = 3
/
ATOMIC_SPECIES
Pa 231.04 Pa.upf
Tl 204.38 Tl.upf
S 32.06 S.upf
CELL_PARAMETERS angstrom
-4.9881 4.9881 2.8721
4.9881 -4.9881 2.8721
4.9881 4.9881 -2.8721
ATOMIC_POSITIONS crystal
Pa 0.0000 0.0000 0.0000
Tl 0.1938 0.3934 0.5872
Tl 0.3934 0.8062 0.1996
Tl 0.6066 0.1938 0.8004
Tl 0.8062 0.6066 0.4128
S 0.0912 0.7518 0.8430
S 0.2482 0.0912 0.3394
S 0.5000 0.5000 0.0000
S 0.7518 0.9088 0.6606
S 0.9088 0.2482 0.1570
```

No. 3
First-principles (PBE-GGA) data for NaH3F6 after structural relaxation, as listed in Alexandria. Values from VASP.

Summary:
As for the theoretical density: 1.97 g/cm³. As for the volume: 118.2 Å³/f.u. The calculation puts the total energy at -3.628 eV per atom.

Geometry as Quantum ESPRESSO input:
```
&SYSTEM
  ibrav = 0, nat = 10, ntyp = 3
/
ATOMIC_SPECIES
Na 22.99 Na.upf
H 1.01 H.upf
F 19.00 F.upf
CELL_PARAMETERS angstrom
5.4927 3.1712 1.1310
-5.4927 3.1712 1.1310
0.0000 -6.3424 1.1310
ATOMIC_POSITIONS crystal
Na 0.0000 0.0000 0.0000
H 0.2979 0.2979 0.7563
H 0.2979 0.7563 0.2979
H 0.7563 0.2979 0.2979
F 0.1820 0.1820 0.8105
F 0.1820 0.8105 0.1820
F 0.4137 0.4137 0.6858
F 0.4137 0.6858 0.4137
F 0.6858 0.4137 0.4137
F 0.8105 0.1820 0.1820
```

No. 4
First-principles (PBE-GGA) data for Ti3VIr2 after structural relaxation, as listed in Alexandria. Values from VASP.

Summary:
Its energy relative to the elements is -619 meV per atom. As for the theoretical density: 10.69 g/cm³. As for the volume: 89.9 Å³/f.u.

Geometry as Quantum ESPRESSO input:
```
&SYSTEM
  ibrav = 0, nat = 6, ntyp = 3
/
ATOMIC_SPECIES
Ti 47.87 Ti.upf
V 50.94 V.upf
Ir 192.22 Ir.upf
CELL_PARAMETERS angstrom
3.0918 0.0000 0.0000
0.0000 3.0918 0.0000
0.0000 0.0000 9.4044
ATOMIC_POSITIONS crystal
Ti 0.0000 0.0000 0.0000
Ti 0.0000 0.0000 0.3378
Ti 0.0000 0.0000 0.6622
V 0.5000 0.5000 0.5000
Ir 0.5000 0.5000 0.1645
Ir 0.5000 0.5000 0.8355
```